Entry from the Alexandria database: IrRuWBr2 after structural relaxation (GGA-PBE).

- Symmetry: P4/mmm, No. 123
- Formation energy from raw total energies: 1.85 eV/atom

Lattice parameters (Å, degrees): 4.876 4.876 4.806 90.00 90.00 90.00
Positions (direct):
Ir 0.000 0.000 0.000
Ru 0.000 0.000 0.500
W 0.500 0.500 0.000
Br 0.000 0.500 0.500
Br 0.500 0.000 0.500

---

Entry from the Alexandria database: BaCoSe2 after structural relaxation (GGA-PBE).

- Symmetry: Cm, No. 8
- Formation energy from raw total energies: -0.73 eV/atom

Lattice parameters (Å, degrees): 5.962 5.962 6.351 104.70 104.70 36.45
Positions (direct):
Ba 0.000 0.000 0.000
Co 0.114 0.114 0.602
Se 0.513 0.513 0.410
Se 0.703 0.703 0.834

---

Entry from the Alexandria database: LaUC after structural relaxation (GGA-PBE).

- Energy of formation: 0.226 eV/atom
- Energy above the most stable polymorph in this dataset: 109.5 meV per atom
- Symmetry: Pmmm, No. 47

Lattice parameters (Å, degrees): 3.873 3.885 4.456 90.00 90.00 90.00
Positions (direct):
La 0.000 0.000 0.000
U 0.500 0.500 0.500
C 0.500 0.500 0.000

---

Entry from the Alexandria database: Sc2SbCF after structural relaxation (GGA-PBE).

- Symmetry: P4/mmm, No. 123
- Formation energy from raw total energies: 0.23 eV/atom

Lattice parameters (Å, degrees): 4.200 4.200 5.303 90.00 90.00 90.00
Positions (direct):
Sc 0.000 0.500 0.000
Sc 0.500 0.000 0.000
Sb 0.000 0.000 0.500
C 0.500 0.500 0.500
F 0.000 0.000 0.000

---

Entry from the Alexandria database: GaFeReH after structural relaxation (GGA-PBE).

- Energy above the most stable polymorph in this dataset: 130.0 meV per atom
- Symmetry: Imm2, No. 44

Lattice parameters (Å, degrees): 5.360 5.360 5.360 148.49 147.77 45.70
Positions (direct):
Ga 0.000 0.000 0.000
Fe 0.648 0.648 0.000
Re 0.326 0.326 0.000
H 0.722 0.222 0.500

---

Entry from the Alexandria database: Sr2Sn5Au after structural relaxation (GGA-PBE).

- Energy of formation: -0.313 eV/atom
- Symmetry: I4mm, No. 107

Lattice parameters (Å, degrees): 7.733 7.733 7.733 129.90 129.90 73.57
Positions (direct):
Sr 0.000 0.500 0.500
Sr 0.500 0.000 0.500
Sn 0.379 0.379 0.000
Sn 0.504 0.504 0.526
Sn 0.504 0.979 0.000
Sn 0.979 0.504 0.000
Sn 0.979 0.979 0.474
Au 0.588 0.588 0.000